This record from the Alexandria database describes crystalline InCoIr at its relaxed geometry. The functional is PBE.

a = 4.1727 Å, b = 4.1727 Å, c = 4.1727 Å
α = 60.00°, β = 60.00°, γ = 60.00°
Closest atoms and distances in Å follow each position.
Element x y z (fractional)
In 0.0000 0.0000 0.0000  4 Co 2.56
Co 0.7500 0.7500 0.7500  4 In 2.56, 4 Ir 2.56
Ir 0.5000 0.5000 0.5000  4 Co 2.56

## Properties
For the relative energy among the computed polymorphs, the calculation gives 126 meV per atom. The symmetry is F-43m. Its volume is 17.12 Å³/atom. Its total DFT energy (no corrections) is -5.983 eV/atom. The energy of formation from the pure elements comes out at 5.8 kcal/mol of atoms.

---

This record from the Alexandria database describes crystalline In2CoIr at its relaxed geometry. The functional is PBE.

a = 5.1821 Å, b = 5.1821 Å, c = 5.1821 Å
α = 135.51°, β = 135.51°, γ = 64.74°
Closest atoms and distances in Å follow each position.
Element x y z (fractional)
In 0.0000 0.0000 0.0000  4 Co 2.77, 4 In 2.94, 4 Ir 2.94
In 0.7500 0.2500 0.5000  4 Ir 2.77, 4 In 2.94, 4 Co 2.94
Co 0.5000 0.5000 0.0000  8 In 2.77-2.94, 4 Ir 2.94
Ir 0.2500 0.7500 0.5000  8 In 2.77-2.94, 4 Co 2.94

## Properties
The symmetry is I-4m2. Its volume is 16.85 Å³/atom. Its total DFT energy (no corrections) is -5.179 eV/atom. The energy of formation from the pure elements comes out at 4.2 kcal/mol of atoms.

---

This record from the Alexandria database describes crystalline In2CoIr at its relaxed geometry. The functional is PBE.

a = 8.5613 Å, b = 8.5613 Å, c = 8.5613 Å
α = 20.61°, β = 20.61°, γ = 20.61°
Closest atoms and distances in Å follow each position.
Element x y z (fractional)
In 0.2470 0.2470 0.2470  3 Co 2.68, 3 Ir 2.80
In 0.7530 0.7530 0.7530  3 Co 2.68, 3 Ir 2.80
Co 0.5000 0.5000 0.5000  6 In 2.68
Ir 0.0000 0.0000 0.0000  6 In 2.80, 6 Ir 3.06

## Properties
The symmetry is R-3m. Its volume is 17.02 Å³/atom. Its total DFT energy (no corrections) is -5.129 eV/atom. The energy of formation from the pure elements comes out at 5.4 kcal/mol of atoms.

---

This record from the Alexandria database describes crystalline InCo2Ir at its relaxed geometry. The functional is PBE.

a = 4.7140 Å, b = 4.7140 Å, c = 4.5468 Å
α = 104.10°, β = 104.10°, γ = 35.43°
Closest atoms and distances in Å follow each position.
Element x y z (fractional)
In 0.0000 0.0000 0.0000  7 Co 2.67-2.72, 3 Ir 2.78-2.82, 2 In 2.87
Co 0.2405 0.2405 0.7505  2 Co 2.52, 2 Ir 2.57, 3 In 2.68-2.72
Co 0.5112 0.5112 0.5115  2 Co 2.52, 3 Ir 2.60-2.70, 4 In 2.67-2.71
Ir 0.7658 0.7658 0.2977  7 Co 2.57-2.83, 3 In 2.78-2.82, 2 Ir 2.87

## Properties
The symmetry is Cm. Its volume is 14.16 Å³/atom. Its total DFT energy (no corrections) is -6.288 eV/atom. The energy of formation from the pure elements comes out at 3.8 kcal/mol of atoms.